Computed, not measured: a relaxed Rb2SmMnF6 crystal at the PBE+U level of DFT.

Unit cell a=6.5677 b=6.5677 c=6.5677 alpha=60.00 beta=60.00 gamma=60.00
Sites, in units of the cell vectors:
Rb1 0.2500 0.2500 0.2500
Rb2 0.7500 0.7500 0.7500
Sm1 0.0000 0.0000 0.0000
Mn1 0.5000 0.5000 0.5000
F1 0.2438 0.2438 0.7562
F2 0.2438 0.7562 0.2438
F3 0.2438 0.7562 0.7562
F4 0.7562 0.2438 0.2438
F5 0.7562 0.2438 0.7562
F6 0.7562 0.7562 0.2438

VASP energy	-54.54	eV/cell